# LiSmTlAu

A geometry-optimized LiSmTlAu structure (PBE, Alexandria via LeMat-Bulk).

Calculated values
Formation enthalpy at 0 K, eV/atom: -0.501
DOS(E_F), states/eV per atom: 0.22

Lattice parameters (Å, degrees): 7.0047 7.0047 7.0047 90.00 90.00 90.00
Last column: nearest neighbours and their distance in Å.
Space group F-43m (No. 216)
Inequivalent atoms, fractional coordinates:
Li 0.0000 0.0000 0.0000 x4  4 Tl 3.03, 4 Sm 3.03
Sm 0.2500 0.2500 0.2500 x4  4 Li 3.03, 4 Au 3.03
Tl 0.2500 0.2500 0.7500 x4  4 Li 3.03, 4 Au 3.03
Au 0.0000 0.0000 0.5000 x4  4 Sm 3.03, 4 Tl 3.03